Record 1
This record from the Alexandria database describes an optimized crystal structure of Ba2Ce3O8. The functional is PBE.

Cell lengths 6.051, 7.224, 7.242 Å; angles 119.92, 108.72, 90.00 degrees
Element x y z (fractional)
Ba 0.348 0.288 0.575
Ba 0.652 0.712 0.425
Ce 0.500 0.000 0.000
Ce 0.000 0.259 0.000
Ce 0.000 0.741 0.000
O 0.951 0.598 0.196
O 0.049 0.402 0.804
O 0.908 0.092 0.184
O 0.092 0.908 0.816
O 0.611 0.685 0.793
O 0.611 0.108 0.793
O 0.389 0.892 0.207
O 0.389 0.315 0.207

## Properties
E ... -7.903 eV per atom
Uncorrected formation energy ... -3.1865 eV/atom
Mass density ... 5.362 g/cm3
Space group ... C2/m


Record 2
This record from the Alexandria database describes an optimized crystal structure of BaCe2O5. The functional is PBE.

Cell lengths 3.622, 6.880, 6.880 Å; angles 50.23, 74.74, 74.74 degrees
Element x y z (fractional)
Ba 0.000 0.000 0.000
Ce 0.817 0.683 0.683
Ce 0.183 0.317 0.317
O 0.000 0.500 0.500
O 0.660 0.595 0.084
O 0.340 0.405 0.916
O 0.340 0.916 0.405
O 0.660 0.084 0.595

## Properties
E ... -7.972 eV per atom
Uncorrected formation energy ... -3.1491 eV/atom
Mass density ... 6.552 g/cm3
Space group ... Immm


Record 3
This record from the Alexandria database describes an optimized crystal structure of Ba6CeO8. The functional is PBE.

Cell lengths 7.800, 7.800, 7.800 Å; angles 60.00, 60.00, 60.00 degrees
Element x y z (fractional)
Ba 0.000 0.500 0.500
Ba 0.500 0.000 0.000
Ba 0.500 0.500 0.000
Ba 0.000 0.000 0.500
Ba 0.000 0.500 0.000
Ba 0.500 0.000 0.500
Ce 0.000 0.000 0.000
O 0.750 0.750 0.750
O 0.250 0.250 0.250
O 0.791 0.209 0.209
O 0.209 0.791 0.791
O 0.209 0.209 0.791
O 0.791 0.791 0.209
O 0.791 0.209 0.791
O 0.209 0.791 0.209

## Properties
E ... -6.505 eV per atom
Uncorrected formation energy ... -2.6963 eV/atom
Mass density ... 5.404 g/cm3
Space group ... Fm-3m


Record 4
This record from the Alexandria database describes an optimized crystal structure of BaCeO. The functional is PBE.

Cell lengths 3.753, 3.753, 13.564 Å; angles 90.00, 90.00, 120.01 degrees
Element x y z (fractional)
O 0.446 0.891 0.000
O 0.443 0.886 0.500
Ce 0.777 0.554 0.393
Ce 0.777 0.554 0.607
Ba 0.112 0.224 0.875
Ba 0.112 0.224 0.125

## Properties
E ... -5.547 eV per atom
Uncorrected formation energy ... -1.2751 eV/atom
Mass density ... 5.891 g/cm3
Space group ... Amm2


> Which of these has the highest E?

BaCeO